This record from Alexandria via LeMat-Bulk describes MgB3Sb after structural relaxation. The functional is PBE-GGA.

The structure belongs to space group Pm-3m (No. 221); the cell edges are 4.510, 4.510 and 4.510 Å and the angles 90.00°, 90.00° and 90.00°. The inequivalent atoms are Mg at (0.000, 0.000, 0.000), B at (0.000, 0.500, 0.500) and Sb at (0.500, 0.500, 0.500).

Its density of states at the Fermi level is 2.7 states/eV per cell.


This record from Alexandria via LeMat-Bulk describes MgBSb after structural relaxation. The functional is PBE-GGA.

The structure belongs to space group Cm (No. 8); the cell edges are 8.144, 3.641 and 8.781 Å and the angles 90.00°, 114.23° and 90.00°. The inequivalent atoms are Mg at (0.000, 0.000, 0.000), Mg at (0.247, 0.500, 0.494), B at (0.171, 0.500, 0.900), B at (0.261, 0.500, 0.102), Sb at (0.122, 0.000, 0.725) and Sb at (0.367, 0.000, 0.276).

Its density of states at the Fermi level is 1.2 states/eV per cell.


This record from Alexandria via LeMat-Bulk describes MgBSb after structural relaxation. The functional is PBE-GGA.

The structure belongs to space group Cm (No. 8); the cell edges are 12.169, 3.633 and 5.496 Å and the angles 90.00°, 92.01° and 90.00°. The inequivalent atoms are Mg at (0.000, 0.000, 0.000), Mg at (0.205, 0.500, 0.462), B at (0.033, 0.500, 0.680), B at (0.136, 0.500, 0.875), Sb at (0.241, 0.000, 0.013) and Sb at (0.446, 0.500, 0.494).

Its density of states at the Fermi level is 0.7 states/eV per cell.


This record from Alexandria via LeMat-Bulk describes MgBSb after structural relaxation. The functional is PBE-GGA.

The structure belongs to space group Pm (No. 6); the cell edges are 3.112, 4.013 and 9.539 Å and the angles 90.00°, 98.53° and 90.00°. The inequivalent atoms are Mg at (0.000, 0.000, 0.000), Mg at (0.336, 0.500, 0.665), B at (0.401, 0.000, 0.796), B at (0.880, 0.000, 0.751), Sb at (0.604, 0.500, 0.194) and Sb at (0.735, 0.000, 0.448).

Its density of states at the Fermi level is 1.2 states/eV per cell.


This record from Alexandria via LeMat-Bulk describes MgBSb2 after structural relaxation. The functional is PBE-GGA.

The structure belongs to space group I-42d (No. 122); the cell edges are 6.288, 6.288 and 10.104 Å and the angles 90.00°, 90.00° and 90.00°. The inequivalent atoms are Mg at (0.000, 0.000, 0.000), B at (0.000, 0.000, 0.500) and Sb at (0.178, 0.250, 0.625).

Its density of states at the Fermi level is 10.4 states/eV per cell.


This record from Alexandria via LeMat-Bulk describes MgBSb2 after structural relaxation. The functional is PBE-GGA.

The structure belongs to space group Fm-3m (No. 225); the cell edges are 6.954, 6.954 and 6.954 Å and the angles 90.00°, 90.00° and 90.00°. The inequivalent atoms are Mg at (0.000, 0.000, 0.000), B at (0.000, 0.000, 0.500) and Sb at (0.250, 0.250, 0.250).

Its density of states at the Fermi level is 6.9 states/eV per cell.


This record from Alexandria via LeMat-Bulk describes Mg14BSb after structural relaxation. The functional is PBE-GGA.

The structure belongs to space group P-6m2 (No. 187); the cell edges are 6.3420, 6.3420 and 9.8661 Å and the angles 90.00°, 90.00° and 120.00°. The inequivalent atoms are Mg at (0.0000, 0.0000, 0.2479), Mg at (0.0095, 0.5048, 0.2681), Mg at (0.3245, 0.1623, 0.5000), Mg at (0.3391, 0.1695, 0.0000), B at (0.3333, 0.6667, 0.5000) and Sb at (0.3333, 0.6667, 0.0000).

Its density of states at the Fermi level is 6.6 states/eV per cell.


This record from Alexandria via LeMat-Bulk describes MgB3Sb after structural relaxation. The functional is PBE-GGA.

The structure belongs to space group Pm-3m (No. 221); the cell edges are 4.370, 4.370 and 4.370 Å and the angles 90.00°, 90.00° and 90.00°. The inequivalent atoms are Mg at (0.000, 0.000, 0.000), B at (0.000, 0.000, 0.500) and Sb at (0.500, 0.500, 0.500).

Its density of states at the Fermi level is 2.5 states/eV per cell.


Results for energy: -3.194; -4.024; -4.003; -4.060; -3.854; -3.284; -1.917; -3.044 (in eV per atom, following the order of the records).